Entry A
Below is crystalline YTlS3 at its relaxed geometry, with properties calculated at the PBE-GGA level.

Properties
V: 30.103 Å³/atom
Fermi-level density of states: 1.267 states/eV per atom

```
YTlS3
1.0
5.3194 0.0000 0.0000
0.0000 5.3194 0.0000
0.0000 0.0000 5.3194
Y Tl S
1 1 3
Cartesian
0.0000 0.0000 0.0000
2.6597 2.6597 2.6597
0.0000 0.0000 2.6597
0.0000 2.6597 0.0000
2.6597 0.0000 0.0000
```

---

Entry B
Below is crystalline YTlS3 at its relaxed geometry, with properties calculated at the PBE-GGA level.

Properties
V: 25.334 Å³/atom
Fermi-level density of states: 0.209 states/eV per atom

```
YTlS3
1.0
5.0221 0.0000 0.0000
0.0000 5.0221 0.0000
0.0000 0.0000 5.0221
Y Tl S
1 1 3
Cartesian
0.0000 0.0000 0.0000
2.5111 2.5111 2.5111
0.0000 2.5111 2.5111
2.5111 0.0000 2.5111
2.5111 2.5111 0.0000
```

---

entry A comes first in stability; the runner-up is 492 meV/atom higher.

---

Entry A
Below is crystalline Tl3ZnS at its relaxed geometry, with properties calculated at the PBE-GGA level.

Properties
V: 40.221 Å³/atom
Fermi-level density of states: 0.606 states/eV per atom

```
Tl3ZnS
1.0
5.8588 0.0000 0.0000
0.0000 5.8588 0.0000
0.0000 0.0000 5.8588
Tl Zn S
3 1 1
Cartesian
0.0000 0.0000 2.9294
0.0000 2.9294 0.0000
2.9294 0.0000 0.0000
2.9294 2.9294 2.9294
0.0000 0.0000 0.0000
```

---

Entry B
Below is crystalline Tl3ZnS at its relaxed geometry, with properties calculated at the PBE-GGA level.

Properties
V: 29.637 Å³/atom
Fermi-level density of states: 0.285 states/eV per atom

```
Tl3ZnS
1.0
5.2918 0.0000 0.0000
0.0000 5.2918 0.0000
0.0000 0.0000 5.2918
Tl Zn S
3 1 1
Cartesian
0.0000 0.0000 2.6459
0.0000 2.6459 0.0000
2.6459 0.0000 0.0000
0.0000 0.0000 0.0000
2.6459 2.6459 2.6459
```

---

entry B comes first in stability; the runner-up is 67 meV/atom higher.

---

Entry A
Below is crystalline Tl2ZnS2 at its relaxed geometry, with properties calculated at the PBE-GGA level.

Properties
V: 24.494 Å³/atom
Fermi-level density of states: 0.235 states/eV per atom

```
Tl2ZnS2
1.0
6.9932 0.0000 0.0000
0.0000 6.9932 0.0000
0.0000 0.0000 5.0086
Tl Zn S
4 2 4
Cartesian
1.0937 2.4029 0.0000
2.4029 5.8995 0.0000
4.5902 1.0937 0.0000
5.8995 4.5902 0.0000
0.0000 0.0000 2.5043
3.4966 3.4966 2.5043
1.2788 4.7754 2.5043
2.2178 1.2788 2.5043
4.7754 5.7143 2.5043
5.7143 2.2178 2.5043
```

---

Entry B
Below is crystalline Tl2ZnS2 at its relaxed geometry, with properties calculated at the PBE-GGA level.

Properties
V: 26.886 Å³/atom

```
Tl2ZnS2
1.0
-3.3809 6.3937 3.1094
3.3809 -6.3937 3.1094
3.3809 6.3937 -3.1094
Tl Zn S
4 2 4
Cartesian
1.0680 1.8759 0.0000
1.0680 -1.8759 3.1094
2.3129 8.2697 0.0000
2.3129 4.5178 3.1094
3.3809 0.0000 1.5547
0.0000 6.3937 1.5547
4.6592 1.2900 0.0000
1.2783 5.1037 0.0000
2.1026 1.2900 3.1094
-1.2783 5.1037 3.1094
```

---

entry B comes first in stability; the runner-up is 367 meV/atom higher.

---

Entry A
Below is crystalline TlZn3S at its relaxed geometry, with properties calculated at the PBE-GGA level.

Properties
V: 26.626 Å³/atom
Fermi-level density of states: 0.946 states/eV per atom

```
TlZn3S
1.0
5.1062 0.0000 0.0000
0.0000 5.1062 0.0000
0.0000 0.0000 5.1062
Tl Zn S
1 3 1
Cartesian
0.0000 0.0000 0.0000
0.0000 0.0000 2.5531
0.0000 2.5531 0.0000
2.5531 0.0000 0.0000
2.5531 2.5531 2.5531
```

---

Entry B
Below is crystalline TlZn3S at its relaxed geometry, with properties calculated at the PBE-GGA level.

Properties
V: 23.019 Å³/atom
Fermi-level density of states: 0.900 states/eV per atom

```
TlZn3S
1.0
4.8643 0.0000 0.0000
0.0000 4.8643 0.0000
0.0000 0.0000 4.8643
Tl Zn S
1 3 1
Cartesian
0.0000 0.0000 0.0000
0.0000 2.4322 2.4322
2.4322 0.0000 2.4322
2.4322 2.4322 0.0000
2.4322 2.4322 2.4322
```

---

entry B comes first in stability; the runner-up is 367 meV/atom higher.